1) Here is BaCd2Re after structural relaxation from the Alexandria database. Energies are from GGA-PBE.

The calculation puts the density of states at the Fermi level at 6.8 states/eV per cell.

The space group is Imm2 (No. 44) and the conventional cell measures 3.047, 4.842 and 14.885 Å, with angles of 90.00, 90.00 and 90.00 degrees. The distinct sites, in fractional coordinates, are Ba at (0.000, 0.000, 0.000), Cd at (0.000, 0.000, 0.651), Cd at (0.000, 0.500, 0.809) and Re at (0.000, 0.500, 0.312).

=====

2) Here is BaCd2Re after structural relaxation from the Alexandria database. Energies are from GGA-PBE.

The calculation puts the density of states at the Fermi level at 3.6 states/eV per cell.

The space group is P4/mmm (No. 123) and the conventional cell measures 5.543, 5.543 and 3.049 Å, with angles of 90.00, 90.00 and 90.00 degrees. The distinct sites, in fractional coordinates, are Ba at (0.000, 0.000, 0.000), Cd at (0.000, 0.500, 0.500) and Re at (0.500, 0.500, 0.000).

=====

It is 1) that is most stable; the runner-up trails by 310 meV/atom.